# PmHo2Mg4 PBE optimized geometry
data_PmHo2Mg4
_symmetry_space_group_name_H-M 'P 1'
_symmetry_Int_Tables_number 1
_cell_length_a 5.372
_cell_length_b 5.372
_cell_length_c 8.234
_cell_angle_alpha 109.04
_cell_angle_beta 109.04
_cell_angle_gamma 90.00
loop_
_symmetry_equiv_pos_as_xyz
'x,y,z'
loop_
_atom_site_label
_atom_site_type_symbol
_atom_site_fract_x
_atom_site_fract_y
_atom_site_fract_z
Mg1 Mg 0.880 0.380 0.761
Mg2 Mg 0.120 0.620 0.239
Mg3 Mg 0.380 0.880 0.761
Mg4 Mg 0.620 0.120 0.239
Ho1 Ho 0.750 0.750 0.499
Ho2 Ho 0.250 0.250 0.501
Pm1 Pm 0.000 0.000 0.000
# Energy of formation from the pure elements ... 0.14 eV/atom
# Calculated volume ... 30.1 A^3/atom
# Density of states at the Fermi level ... 6.40 states/eV/cell
# Excess energy over the best structure of this formula in the dataset ... 0.00 eV per formula unit